1.
Sm3Dy2Hg6 | Alexandria via LeMat-Bulk | GGA-PBE | relaxed; final energy = -2.397 eV per atom; mass density = 9.31 g/cm3; calculated formation energy = -0.1087 eV/atom
1.0
-2.570 2.570 13.372
2.570 -2.570 13.372
2.570 2.570 -13.372
Sm Dy Hg
3 2 6
Cartesian
0.000 0.000 0.000 Sm
0.000 0.000 3.840 Sm
0.000 0.000 22.904 Sm
0.000 0.000 10.038 Dy
0.000 0.000 16.706 Dy
2.570 0.000 1.777 Hg
0.000 0.000 6.980 Hg
2.570 0.000 11.595 Hg
0.000 2.570 1.777 Hg
0.000 0.000 19.764 Hg
0.000 2.570 11.595 Hg

=====

2.
ZrAl2P | Alexandria via LeMat-Bulk | GGA-PBE | relaxed; final energy = -5.621 eV per atom; mass density = 4.02 g/cm3; calculated formation energy = -0.2607 eV/atom
1.0
4.799 -1.524 0.000
4.799 1.524 0.000
-0.047 0.000 4.974
Zr Al P
1 2 1
Cartesian
0.000 0.000 0.000 Zr
4.359 0.000 2.461 Al
6.981 0.000 1.411 Al
2.576 0.000 4.279 P

=====

The lowest mass density belongs to which entry? ZrAl2P

=====

Among the records above, which one has the highest final energy? Sm3Dy2Hg6

=====

Which of these has the highest mass density? Sm3Dy2Hg6